No. 1
LiSmGe: relaxed, PBE-GGA.

Results
E   -4.155 eV per atom
ρ   5.29 g/cm³
Size of the total moment   0.00 μB/f.u.

Cell and atoms, written as POSCAR:
```
LiSmGe
1.0
7.875 0.000 0.000
-3.937 6.820 0.000
0.000 0.000 4.034
Li Sm Ge
3 3 3
Direct
0.000 0.603 0.000
0.397 0.397 0.000
0.603 0.000 0.000
0.000 0.273 0.500
0.273 0.000 0.500
0.727 0.727 0.500
0.000 0.000 0.000
0.333 0.667 0.500
0.667 0.333 0.500
```

***

No. 2
TaNb2Au2: relaxed, PBE-GGA.

Results
Formation enthalpy at 0 K   -3.399 kcal/mol of atoms
ρ   14.12 g/cm³
Size of the total moment   0.00 μB/f.u.

Cell and atoms, written as POSCAR:
```
TaNb2Au2
1.0
-1.703 1.703 7.711
1.703 -1.703 7.711
1.703 1.703 -7.711
Ta Nb Au
1 2 2
Direct
0.000 0.000 0.000
0.400 0.400 0.000
0.600 0.600 0.000
0.199 0.199 0.000
0.801 0.801 0.000
```

***

No. 3
Au: relaxed, PBE-GGA.

Results
Formation enthalpy at 0 K   2.737 kcal/mol of atoms
ρ   12.68 g/cm³

Cell and atoms, written as POSCAR:
```
Au
1.0
1.433 0.827 18.142
-1.433 0.827 18.142
0.000 -1.654 18.142
Au
5
Direct
0.000 0.000 0.000
0.242 0.242 0.242
0.378 0.378 0.378
0.622 0.622 0.622
0.758 0.758 0.758
```

***

No. 4
TmScCo2Sb2: relaxed, PBE-GGA.

Results
E   -6.166 eV per atom
ρ   8.05 g/cm³
Size of the total moment   1.08 μB/f.u.

Cell and atoms, written as POSCAR:
```
TmScCo2Sb2
1.0
4.376 0.000 0.000
0.000 8.747 0.000
0.000 0.000 6.199
Tm Sc Co Sb
2 2 4 4
Direct
0.000 0.123 0.000
0.500 0.877 0.500
0.000 0.624 0.006
0.500 0.376 0.506
0.000 0.379 0.752
0.000 0.867 0.757
0.500 0.133 0.257
0.500 0.621 0.252
0.000 0.133 0.502
0.000 0.620 0.503
0.500 0.380 0.003
0.500 0.867 0.002
```

***

No. 5
TlAgPbSe2S: relaxed, PBE-GGA.

Results
E   -3.541 eV per atom
ρ   7.73 g/cm³

Cell and atoms, written as POSCAR:
```
TlAgPbSe2S
1.0
2.124 -6.221 0.000
2.124 6.221 0.000
0.000 0.000 11.530
Tl Ag Pb Se S
2 2 2 4 2
Direct
0.202 0.798 0.750
0.798 0.202 0.250
0.100 0.900 0.250
0.900 0.100 0.750
0.500 0.500 0.000
0.500 0.500 0.500
0.164 0.836 0.029
0.164 0.836 0.471
0.836 0.164 0.529
0.836 0.164 0.971
0.473 0.527 0.250
0.527 0.473 0.750
```

***

No. 6
Sm2Dy2I5N: relaxed, PBE-GGA.

Results
E   -4.758 eV per atom
ρ   6.59 g/cm³
Size of the total moment   0.00 μB/f.u.

Cell and atoms, written as POSCAR:
```
Sm2Dy2I5N
1.0
9.584 -1.979 0.000
9.584 1.979 0.000
-1.891 0.000 8.468
Sm Dy I N
2 2 5 1
Direct
0.001 0.001 0.309
0.999 0.999 0.691
0.375 0.375 0.439
0.625 0.625 0.561
0.165 0.165 0.835
0.168 0.168 0.328
0.500 0.500 0.000
0.832 0.832 0.672
0.835 0.835 0.165
0.500 0.500 0.500
```

***

No. 7
ScCdAu4: relaxed, PBE-GGA.

Results
Formation enthalpy at 0 K   -7.085 kcal/mol of atoms
ρ   13.17 g/cm³
Size of the total moment   0.01 μB/f.u.

Cell and atoms, written as POSCAR:
```
ScCdAu4
1.0
0.000 3.906 3.906
3.906 0.000 3.906
3.906 3.906 0.000
Sc Cd Au
1 1 4
Direct
0.000 0.000 0.000
0.250 0.250 0.250
0.126 0.625 0.625
0.625 0.126 0.625
0.625 0.625 0.126
0.625 0.625 0.625
```

***

No. 8
YTmNi2B4: relaxed, PBE-GGA.

Results
E   -6.351 eV per atom
ρ   6.76 g/cm³
Size of the total moment   0.21 μB/f.u.

Cell and atoms, written as POSCAR:
```
YTmNi2B4
1.0
3.646 0.000 0.000
0.000 3.646 0.000
0.000 0.000 7.738
Y Tm Ni B
1 1 2 4
Direct
0.000 0.000 0.000
0.500 0.500 0.645
0.000 0.500 0.324
0.500 0.000 0.324
0.000 0.000 0.456
0.000 0.000 0.666
0.500 0.500 0.188
0.500 0.500 0.978
```

***

No. 9
La3PrTe4: relaxed, PBE-GGA.

Results
E   -5.575 eV per atom
ρ   6.58 g/cm³
Size of the total moment   0.02 μB/f.u.

Cell and atoms, written as POSCAR:
```
La3PrTe4
1.0
4.586 -6.453 0.000
4.586 6.453 0.000
0.000 0.000 4.553
La Pr Te
3 1 4
Direct
0.000 0.000 0.000
0.000 0.500 0.500
0.500 0.000 0.500
0.500 0.500 0.000
0.251 0.251 0.500
0.251 0.749 0.000
0.749 0.251 0.000
0.749 0.749 0.500
```

***

No. 10
FeBTeAu: relaxed, PBE-GGA.

Results
E   -4.271 eV per atom
ρ   9.93 g/cm³
Size of the total moment   2.62 μB/f.u.

Cell and atoms, written as POSCAR:
```
FeBTeAu
1.0
0.000 3.198 3.198
3.198 0.000 3.198
3.198 3.198 0.000
Fe B Te Au
1 1 1 1
Direct
0.000 0.000 0.000
0.500 0.500 0.500
0.750 0.750 0.750
0.250 0.250 0.250
```

***

No. 11
CdCoB: relaxed, PBE-GGA.

Results
E   -3.873 eV per atom
ρ   7.11 g/cm³
Size of the total moment   0.02 μB/f.u.

Cell and atoms, written as POSCAR:
```
CdCoB
1.0
0.000 2.770 2.770
2.770 0.000 2.770
2.770 2.770 0.000
Cd Co B
1 1 1
Direct
0.000 0.000 0.000
0.750 0.750 0.750
0.500 0.500 0.500
```

***

No. 12
CsK2Cd2: relaxed, PBE-GGA.

Results
E   -0.979 eV per atom
ρ   2.86 g/cm³

Cell and atoms, written as POSCAR:
```
CsK2Cd2
1.0
-2.876 2.876 7.635
2.876 -2.876 7.635
2.876 2.876 -7.635
Cs K Cd
1 2 2
Direct
0.000 0.000 0.000
0.250 0.750 0.500
0.750 0.250 0.500
0.405 0.405 0.000
0.595 0.595 0.000
```

***

No. 13
Na2US3: relaxed, PBE-GGA.

Results
E   -5.597 eV per atom
ρ   3.73 g/cm³
Size of the total moment   2.00 μB/f.u.

Cell and atoms, written as POSCAR:
```
Na2US3
1.0
2.055 -7.521 0.000
2.055 7.521 0.000
0.000 0.000 10.940
Na U S
4 2 6
Direct
0.119 0.881 0.750
0.127 0.873 0.250
0.873 0.127 0.750
0.881 0.119 0.250
0.500 0.500 0.000
0.500 0.500 0.500
0.118 0.882 0.501
0.118 0.882 0.999
0.496 0.504 0.750
0.504 0.496 0.250
0.882 0.118 0.001
0.882 0.118 0.499
```

***

No. 14
Cu7Ag3: relaxed, PBE-GGA.

Results
Formation enthalpy at 0 K   2.199 kcal/mol of atoms
ρ   9.31 g/cm³

Cell and atoms, written as POSCAR:
```
Cu7Ag3
1.0
10.845 -1.374 0.000
10.845 1.374 0.000
-0.431 0.000 4.599
Cu Ag
7 3
Direct
0.000 0.000 0.000
0.101 0.101 0.718
0.301 0.301 0.101
0.404 0.404 0.820
0.596 0.596 0.180
0.699 0.699 0.899
0.899 0.899 0.282
0.195 0.195 0.391
0.500 0.500 0.500
0.805 0.805 0.609
```

***

No. 15
TaReSi: relaxed, PBE-GGA.

Results
E   -10.094 eV per atom
ρ   14.01 g/cm³
Size of the total moment   0.00 μB/f.u.

Cell and atoms, written as POSCAR:
```
TaReSi
1.0
4.346 0.000 0.000
-2.173 3.764 0.000
0.000 0.000 5.729
Ta Re Si
2 2 2
Direct
0.000 0.000 0.000
0.000 0.000 0.500
0.333 0.667 0.321
0.667 0.333 0.821
0.333 0.667 0.754
0.667 0.333 0.254
```

***

No. 16
UCuNi: relaxed, PBE-GGA.

Results
Formation enthalpy at 0 K   18.709 kcal/mol of atoms
ρ   10.17 g/cm³
Size of the total moment   2.28 μB/f.u.

Cell and atoms, written as POSCAR:
```
UCuNi
1.0
0.000 3.087 3.087
3.087 0.000 3.087
3.087 3.087 0.000
U Cu Ni
1 1 1
Direct
0.000 0.000 0.000
0.750 0.750 0.750
0.250 0.250 0.250
```

***

No. 17
NaPrHgSe3: relaxed, PBE-GGA.

Results
E   -3.918 eV per atom
ρ   5.90 g/cm³
Size of the total moment   0.00 μB/f.u.

Cell and atoms, written as POSCAR:
```
NaPrHgSe3
1.0
11.416 0.000 0.000
0.000 4.280 0.000
0.000 0.000 13.864
Na Pr Hg Se
4 4 4 12
Direct
0.217 0.250 0.007
0.283 0.750 0.507
0.717 0.250 0.493
0.783 0.750 0.993
0.011 0.750 0.742
0.489 0.250 0.242
0.511 0.750 0.758
0.989 0.250 0.258
0.240 0.750 0.217
0.260 0.250 0.717
0.740 0.750 0.283
0.760 0.250 0.783
0.046 0.750 0.112
0.078 0.250 0.601
0.241 0.250 0.341
0.259 0.750 0.841
0.422 0.750 0.101
0.454 0.250 0.612
0.546 0.750 0.388
0.578 0.250 0.899
0.741 0.250 0.159
0.759 0.750 0.659
0.922 0.750 0.399
0.954 0.250 0.888
```

***

No. 18
GeIrAu2: relaxed, PBE-GGA.

Results
E   -4.735 eV per atom
ρ   16.28 g/cm³
Size of the total moment   0.00 μB/f.u.

Cell and atoms, written as POSCAR:
```
GeIrAu2
1.0
0.000 3.227 3.227
3.227 0.000 3.227
3.227 3.227 0.000
Ge Ir Au
1 1 2
Direct
0.000 0.000 0.000
0.250 0.250 0.250
0.500 0.500 0.500
0.750 0.750 0.750
```

***

No. 19
IrBr4Cl: relaxed, PBE-GGA.

Results
E   -3.040 eV per atom
ρ   5.35 g/cm³
Size of the total moment   0.09 μB/f.u.

Cell and atoms, written as POSCAR:
```
IrBr4Cl
1.0
6.598 0.000 0.000
-3.052 6.065 0.000
-0.175 -3.161 8.483
Ir Br Cl
2 8 2
Direct
0.097 0.199 0.216
0.903 0.801 0.784
0.071 0.816 0.549
0.243 0.196 0.953
0.308 0.998 0.255
0.428 0.583 0.355
0.572 0.417 0.645
0.692 0.002 0.745
0.757 0.804 0.047
0.929 0.184 0.451
0.105 0.626 0.849
0.895 0.374 0.151
```

***

No. 20
KLiGd: relaxed, PBE-GGA.

Results
E   -1.550 eV per atom
ρ   2.67 g/cm³
Size of the total moment   0.02 μB/f.u.

Cell and atoms, written as POSCAR:
```
KLiGd
1.0
0.000 3.984 3.984
3.984 0.000 3.984
3.984 3.984 0.000
K Li Gd
1 1 1
Direct
0.000 0.000 0.000
0.500 0.500 0.500
0.250 0.250 0.250
```

***

No. 21
InCuB4: relaxed, PBE-GGA.

Results
E   -5.045 eV per atom
ρ   6.12 g/cm³

Cell and atoms, written as POSCAR:
```
InCuB4
1.0
-1.551 2.663 3.638
1.551 -2.663 3.638
1.551 2.663 -3.638
In Cu B
1 1 4
Direct
0.000 0.000 0.000
0.500 0.500 0.000
0.086 0.754 0.333
0.421 0.754 0.667
0.579 0.246 0.333
0.914 0.246 0.667
```

***

No. 22
AlPOsO: relaxed, PBE-GGA.

Results
E   -6.079 eV per atom
ρ   9.16 g/cm³
Size of the total moment   0.00 μB/f.u.

Cell and atoms, written as POSCAR:
```
AlPOsO
1.0
3.974 0.000 0.000
0.000 3.974 0.000
0.000 0.000 6.061
Al P Os O
2 2 2 2
Direct
0.250 0.750 0.000
0.750 0.250 0.000
0.250 0.250 0.266
0.750 0.750 0.734
0.250 0.250 0.701
0.750 0.750 0.299
0.250 0.750 0.500
0.750 0.250 0.500
```